An optimized crystal structure of Co4Ni9, computed with PBE.

Values from the calculation:
- E_form (eV/atom) = 0.148
- energy above the most stable polymorph in this dataset (meV/atom) = 0
- raw total energy (eV/atom) = -5.893

The structure in CIF format:
```
data_Co4Ni9
_chemical_formula_sum 'Co12 Ni27'
_symmetry_space_group_name_H-M 'R -3 m'
_symmetry_Int_Tables_number 166
_symmetry_space_group_name_Hall '-R 3 2"'
_cell_length_a 4.5757
_cell_length_b 4.5757
_cell_length_c 24.0484
_cell_angle_alpha 90.00
_cell_angle_beta 90.00
_cell_angle_gamma 120.00
loop_
_atom_site_label
_atom_site_type_symbol
_atom_site_fract_x
_atom_site_fract_y
_atom_site_fract_z
Co1 Co 0.0000 0.0000 0.0460
Co2 Co 0.0000 0.0000 0.3344
Ni1 Ni 0.0000 0.0000 0.1510
Ni2 Ni 0.0000 0.0000 0.5000
Ni3 Ni 0.0027 0.5013 0.9131
```